[1]
The following is a PBEsol calculation of a relaxed ZrCd2Rh crystal, from Alexandria.

Computed properties:
Energy of formation from the pure elements in meV per atom: -328
Total magnetization in μB/cell: 0.00

Cell and atoms, written as CIF:
```
data_ZrCd2Rh
_chemical_formula_sum 'Zr1 Cd2 Rh1'
_symmetry_space_group_name_H-M 'P 4 m m'
_symmetry_Int_Tables_number 99
_symmetry_space_group_name_Hall 'P 4 -2'
_cell_length_a 3.345
_cell_length_b 3.345
_cell_length_c 6.709
_cell_angle_alpha 90.00
_cell_angle_beta 90.00
_cell_angle_gamma 90.00
loop_
_atom_site_label
_atom_site_fract_x
_atom_site_fract_y
_atom_site_fract_z
Zr1 0.000 0.000 0.000
Cd1 0.000 0.000 0.553
Cd2 0.500 0.500 0.291
Rh1 0.500 0.500 0.815
```



[2]
The following is a PBEsol calculation of a relaxed ZrCdRh2 crystal, from Alexandria.

Computed properties:
Energy of formation from the pure elements in meV per atom: 33
Total magnetization in μB/cell: 0.02

Cell and atoms, written as CIF:
```
data_ZrCdRh2
_chemical_formula_sum 'Zr3 Cd3 Rh6'
_symmetry_space_group_name_H-M 'R 3 m'
_symmetry_Int_Tables_number 160
_symmetry_space_group_name_Hall 'R 3 -2"'
_cell_length_a 2.8426
_cell_length_b 2.8426
_cell_length_c 28.2912
_cell_angle_alpha 90.00
_cell_angle_beta 90.00
_cell_angle_gamma 120.00
loop_
_atom_site_label
_atom_site_fract_x
_atom_site_fract_y
_atom_site_fract_z
Zr1 0.0000 0.0000 0.0000
Cd1 0.0000 0.0000 0.7618
Rh1 0.0000 0.0000 0.2501
Rh2 0.0000 0.0000 0.5098
```



[3]
The following is a PBEsol calculation of a relaxed ZrCd2Rh crystal, from Alexandria.

Computed properties:
Energy of formation from the pure elements in meV per atom: -200
Total magnetization in μB/cell: 0.00

Cell and atoms, written as CIF:
```
data_ZrCd2Rh
_chemical_formula_sum 'Zr2 Cd4 Rh2'
_symmetry_space_group_name_H-M 'I 4/m m m'
_symmetry_Int_Tables_number 139
_symmetry_space_group_name_Hall '-I 4 2'
_cell_length_a 4.150
_cell_length_b 4.150
_cell_length_c 8.342
_cell_angle_alpha 90.00
_cell_angle_beta 90.00
_cell_angle_gamma 90.00
loop_
_atom_site_label
_atom_site_fract_x
_atom_site_fract_y
_atom_site_fract_z
Zr1 0.000 0.000 0.000
Cd1 0.000 0.500 0.250
Rh1 0.000 0.000 0.500
```



[4]
The following is a PBEsol calculation of a relaxed CdRu3 crystal, from Alexandria.

Computed properties:
Energy of formation from the pure elements in meV per atom: 630
Total magnetization in μB/cell: 7.57

Cell and atoms, written as CIF:
```
data_CdRu3
_chemical_formula_sum 'Cd4 Ru12'
_symmetry_space_group_name_H-M 'F m -3 m'
_symmetry_Int_Tables_number 225
_symmetry_space_group_name_Hall '-F 4 2 3'
_cell_length_a 6.183
_cell_length_b 6.183
_cell_length_c 6.183
_cell_angle_alpha 90.00
_cell_angle_beta 90.00
_cell_angle_gamma 90.00
loop_
_atom_site_label
_atom_site_fract_x
_atom_site_fract_y
_atom_site_fract_z
Cd1 0.000 0.000 0.000
Ru1 0.000 0.000 0.500
Ru2 0.250 0.250 0.250
```



[5]
The following is a PBEsol calculation of a relaxed CdRu3 crystal, from Alexandria.

Computed properties:
Energy of formation from the pure elements in meV per atom: 526
Total magnetization in μB/cell: 1.87

Cell and atoms, written as CIF:
```
data_CdRu3
_chemical_formula_sum 'Cd2 Ru6'
_symmetry_space_group_name_H-M 'C m m m'
_symmetry_Int_Tables_number 65
_symmetry_space_group_name_Hall '-C 2 2'
_cell_length_a 5.379
_cell_length_b 7.967
_cell_length_c 2.710
_cell_angle_alpha 90.00
_cell_angle_beta 90.00
_cell_angle_gamma 90.00
loop_
_atom_site_label
_atom_site_fract_x
_atom_site_fract_y
_atom_site_fract_z
Cd1 0.000 0.000 0.000
Ru1 0.000 0.500 0.000
Ru2 0.250 0.250 0.500
```



[6]
The following is a PBEsol calculation of a relaxed CdRu2 crystal, from Alexandria.

Computed properties:
Energy of formation from the pure elements in meV per atom: 245
Total magnetization in μB/cell: 0.00

Cell and atoms, written as CIF:
```
data_CdRu2
_chemical_formula_sum 'Cd1 Ru2'
_symmetry_space_group_name_H-M 'P -3 m 1'
_symmetry_Int_Tables_number 164
_symmetry_space_group_name_Hall '-P 3 2"'
_cell_length_a 2.7550
_cell_length_b 2.7550
_cell_length_c 6.8715
_cell_angle_alpha 90.00
_cell_angle_beta 90.00
_cell_angle_gamma 120.00
loop_
_atom_site_label
_atom_site_fract_x
_atom_site_fract_y
_atom_site_fract_z
Cd1 0.0000 0.0000 0.0000
Ru1 0.3333 0.6667 0.6446
```



[7]
The following is a PBEsol calculation of a relaxed CdRuS2 crystal, from Alexandria.

Computed properties:
Formation energy from raw total energies in meV per atom: 377
Total magnetization in μB/cell: 0.01

Cell and atoms, written as CIF:
```
data_CdRuS2
_chemical_formula_sum 'Cd3 Ru3 S6'
_symmetry_space_group_name_H-M 'R -3 m'
_symmetry_Int_Tables_number 166
_symmetry_space_group_name_Hall '-R 3 2"'
_cell_length_a 3.3247
_cell_length_b 3.3247
_cell_length_c 23.5424
_cell_angle_alpha 90.00
_cell_angle_beta 90.00
_cell_angle_gamma 120.00
loop_
_atom_site_label
_atom_site_fract_x
_atom_site_fract_y
_atom_site_fract_z
Cd1 0.0000 0.0000 0.0000
Ru1 0.0000 0.0000 0.5000
S1 0.0000 0.0000 0.4078
```



[8]
The following is a PBEsol calculation of a relaxed Cd2SbRu crystal, from Alexandria.

Computed properties:
Formation energy from raw total energies in meV per atom: 142
Total magnetization in μB/cell: 0.00

Cell and atoms, written as CIF:
```
data_Cd2SbRu
_chemical_formula_sum 'Cd6 Sb3 Ru3'
_symmetry_space_group_name_H-M 'R 3 m'
_symmetry_Int_Tables_number 160
_symmetry_space_group_name_Hall 'R 3 -2"'
_cell_length_a 3.1591
_cell_length_b 3.1591
_cell_length_c 27.7469
_cell_angle_alpha 90.00
_cell_angle_beta 90.00
_cell_angle_gamma 120.00
loop_
_atom_site_label
_atom_site_fract_x
_atom_site_fract_y
_atom_site_fract_z
Cd1 0.0000 0.0000 0.0000
Cd2 0.0000 0.0000 0.2436
Sb1 0.0000 0.0000 0.7663
Ru1 0.0000 0.0000 0.4996
```